1.
Mg7ZrCd4: optimized geometry, PBE.

## Properties
Size of the total moment (Bohr magnetons per cell): 0.002
ΔE_f (eV per atom): 0.16

Unit cell a=12.467 b=5.351 c=10.348 alpha=90.00 beta=124.96 gamma=90.00
Space group C2/m (No. 12)
One atom of each set of equivalent atoms:
Mg (0.000, 0.000, 0.000) x2
Mg (0.070, 0.500, 0.356) x4
Mg (0.162, 0.000, 0.594) x4
Mg (0.216, 0.500, 0.894) x4
Zr (0.000, 0.500, 0.000) x2
Cd (0.067, 0.000, 0.780) x4
Cd (0.206, 0.000, 0.325) x4

---

2.
CaEuPtPb: optimized geometry, PBE.

## Properties
Size of the total moment (Bohr magnetons per cell): 27.855
ΔE_f (eV per atom): -0.60

Unit cell a=7.484 b=7.484 c=7.484 alpha=90.00 beta=90.00 gamma=90.00
Space group F-43m (No. 216)
One atom of each set of equivalent atoms:
Ca (0.000, 0.000, 0.000) x4
Eu (0.000, 0.000, 0.500) x4
Pt (0.250, 0.250, 0.250) x4
Pb (0.250, 0.250, 0.750) x4

---

| no. | energy (eV/atom) |
| --- | --- |
| 1 | -1.79 |
| 2 | -6.11 |